First-principles (PBE) data for an optimized crystal structure of TmAlZn5, as listed in Alexandria via LeMat-Bulk.

Values from the calculation:
Symmetry   Pnma, No. 62
E_tot   -2.2958 eV per atom
Total moment   0.000 μB/f.u.

abc: 5.1434 8.6101 10.5206
angles: 90.00 90.00 90.00
With the nearest neighbours (Å) after each atom.
Fractional positions:
Zn 0.7500 0.8012 0.7503  7 Zn 2.52-2.78
Zn 0.2500 0.1988 0.2497  7 Zn 2.52-2.78
Zn 0.5096 0.4371 0.1941  7 Zn 2.47-2.69, 1 Al 2.75
Zn 0.7500 0.3012 0.7497  7 Zn 2.52-2.78
Zn 0.4904 0.5629 0.8059  7 Zn 2.47-2.69, 1 Al 2.75
Zn 0.2500 0.0853 0.4799  5 Zn 2.58-2.61
Zn 0.5096 0.9371 0.3059  7 Zn 2.47-2.69, 1 Al 2.75
Zn 0.2500 0.4540 0.4120  1 Al 2.59, 4 Zn 2.66-2.78
Zn 0.7500 0.9147 0.5201  5 Zn 2.58-2.61
Zn 0.9904 0.9371 0.3059  7 Zn 2.47-2.69, 1 Al 2.75
Zn 0.2500 0.6988 0.2503  7 Zn 2.52-2.78
Zn 0.0096 0.5629 0.8059  7 Zn 2.47-2.69, 1 Al 2.75
Zn 0.7500 0.0460 0.9120  1 Al 2.59, 4 Zn 2.66-2.78
Zn 0.4904 0.0629 0.6941  7 Zn 2.47-2.69, 1 Al 2.75
Zn 0.9904 0.4371 0.1941  7 Zn 2.47-2.69, 1 Al 2.75
Zn 0.7500 0.4147 0.9799  5 Zn 2.58-2.61
Zn 0.0096 0.0629 0.6941  7 Zn 2.47-2.69, 1 Al 2.75
Zn 0.7500 0.5460 0.5880  1 Al 2.59, 4 Zn 2.66-2.78
Zn 0.2500 0.9540 0.0880  1 Al 2.59, 4 Zn 2.66-2.78
Zn 0.2500 0.5853 0.0201  5 Zn 2.58-2.61
Tm 0.2500 0.7410 0.5632  10 Zn 2.94-3.28, 1 Al 3.23
Tm 0.2500 0.2410 0.9368  10 Zn 2.94-3.28, 1 Al 3.23
Tm 0.7500 0.7590 0.0632  10 Zn 2.94-3.28, 1 Al 3.23
Tm 0.7500 0.2590 0.4368  10 Zn 2.94-3.28, 1 Al 3.23
Al 0.2500 0.8562 0.8550  7 Zn 2.59-2.86
Al 0.2500 0.3562 0.6450  7 Zn 2.59-2.86
Al 0.7500 0.6438 0.3550  7 Zn 2.59-2.86
Al 0.7500 0.1438 0.1450  7 Zn 2.59-2.86

---

First-principles (PBE) data for an optimized crystal structure of Tm6AlZn, as listed in Alexandria via LeMat-Bulk.

Values from the calculation:
Symmetry   Fmmm, No. 69
E_tot   -4.1511 eV per atom
Total moment   0.000 μB/f.u.

abc: 4.9489 4.9489 9.3308
angles: 74.68 74.68 90.10
With the nearest neighbours (Å) after each atom.
Fractional positions:
Tm 0.1058 0.6058 0.7884  2 Al 3.08, 2 Zn 3.08
Tm 0.6058 0.1058 0.7884  2 Al 3.08, 2 Zn 3.08
Tm 0.2508 0.2508 0.4982  12 Tm 3.50-3.53
Tm 0.3942 0.8942 0.2116  2 Al 3.08, 2 Zn 3.08
Tm 0.7492 0.7492 0.5018  12 Tm 3.50-3.53
Tm 0.8942 0.3942 0.2116  2 Al 3.08, 2 Zn 3.08
Zn 0.0000 0.0000 0.0000  8 Tm 3.08
Al 0.5000 0.5000 0.0000  8 Tm 3.08

---

First-principles (PBE) data for an optimized crystal structure of Tm3Al2Zn3, as listed in Alexandria via LeMat-Bulk.

Values from the calculation:
Symmetry   Cmcm, No. 63
E_tot   -3.4886 eV per atom
Total moment   0.000 μB/f.u.

abc: 4.3418 5.7610 14.2890
angles: 90.00 90.00 112.14
With the nearest neighbours (Å) after each atom.
Fractional positions:
Tm 0.0817 0.1634 0.6125  6 Zn 3.03-3.16, 4 Al 3.12-3.27
Tm 0.9183 0.8366 0.1125  6 Zn 3.03-3.16, 4 Al 3.12-3.27
Tm 0.6342 0.2683 0.2500  5 Zn 3.05-3.13, 4 Al 3.20
Tm 0.0817 0.1634 0.8875  6 Zn 3.03-3.16, 4 Al 3.12-3.27
Tm 0.3658 0.7317 0.7500  5 Zn 3.05-3.13, 4 Al 3.20
Tm 0.9183 0.8366 0.3875  6 Zn 3.03-3.16, 4 Al 3.12-3.27
Zn 0.3911 0.7823 0.5377  3 Al 2.56-2.71, 1 Zn 2.56
Zn 0.3911 0.7823 0.9623  3 Al 2.56-2.71, 1 Zn 2.56
Zn 0.6089 0.2177 0.0377  3 Al 2.56-2.71, 1 Zn 2.56
Zn 0.6547 0.3094 0.7500  2 Al 2.64
Zn 0.6089 0.2177 0.4623  3 Al 2.56-2.71, 1 Zn 2.56
Zn 0.3453 0.6906 0.2500  2 Al 2.64
Al 0.7903 0.5805 0.9047  4 Zn 2.56-2.71
Al 0.2097 0.4195 0.4047  4 Zn 2.56-2.71
Al 0.7903 0.5805 0.5953  4 Zn 2.56-2.71
Al 0.2097 0.4195 0.0953  4 Zn 2.56-2.71

---

First-principles (PBE) data for an optimized crystal structure of TmAl4Zn, as listed in Alexandria via LeMat-Bulk.

Values from the calculation:
Symmetry   F-43m, No. 216
E_tot   -3.5775 eV per atom
Total moment   0.000 μB/f.u.

abc: 5.4426 5.4426 5.4426
angles: 60.00 60.00 60.00
With the nearest neighbours (Å) after each atom.
Fractional positions:
Zn 0.2500 0.2500 0.2500  12 Al 3.19, 4 Tm 3.33
Al 0.6254 0.6254 0.1238  6 Al 2.71-2.73
Al 0.6254 0.6254 0.6254  6 Al 2.71-2.73
Al 0.6254 0.1238 0.6254  6 Al 2.71-2.73
Al 0.1238 0.6254 0.6254  6 Al 2.71-2.73
Tm 0.0000 0.0000 0.0000  12 Al 3.19, 4 Zn 3.33

---

First-principles (PBE) data for an optimized crystal structure of TmAlZn2, as listed in Alexandria via LeMat-Bulk.

Values from the calculation:
Symmetry   Fm-3m, No. 225
E_tot   -2.9741 eV per atom
Total moment   0.000 μB/f.u.

abc: 4.6927 4.6927 4.6927
angles: 60.00 60.00 60.00
With the nearest neighbours (Å) after each atom.
Fractional positions:
Zn 0.7500 0.7500 0.7500  4 Tm 2.87, 4 Al 2.87
Zn 0.2500 0.2500 0.2500  4 Al 2.87, 4 Tm 2.87
Al 0.0000 0.0000 0.0000  8 Zn 2.87
Tm 0.5000 0.5000 0.5000  8 Zn 2.87

---

First-principles (PBE) data for an optimized crystal structure of Tm6Al2Zn, as listed in Alexandria via LeMat-Bulk.

Values from the calculation:
Symmetry   Immm, No. 71
E_tot   -3.9559 eV per atom
Total moment   0.000 μB/f.u.

abc: 4.9323 7.0316 8.5646
angles: 114.24 106.76 90.00
With the nearest neighbours (Å) after each atom.
Fractional positions:
Al 0.3339 0.3339 0.6678  8 Tm 3.04-3.05
Al 0.6661 0.6661 0.3322  8 Tm 3.04-3.05
Tm 0.5000 0.7563 0.0000  2 Zn 3.00, 2 Al 3.05
Tm 0.1650 0.9184 0.3301  1 Zn 3.00, 3 Al 3.04
Tm 0.1650 0.4117 0.3301  1 Zn 3.00, 3 Al 3.04
Tm 0.8350 0.0816 0.6699  1 Zn 3.00, 3 Al 3.04
Tm 0.5000 0.2437 0.0000  2 Zn 3.00, 2 Al 3.05
Tm 0.8350 0.5883 0.6699  1 Zn 3.00, 3 Al 3.04
Zn 0.0000 0.0000 0.0000  8 Tm 3.00

---

First-principles (PBE) data for an optimized crystal structure of TmAl7Zn5, as listed in Alexandria via LeMat-Bulk.

Values from the calculation:
Symmetry   Imm2, No. 44
E_tot   -2.9239 eV per atom
Total moment   0.000 μB/f.u.

abc: 5.0988 7.0297 7.0297
angles: 82.75 68.74 68.74
With the nearest neighbours (Å) after each atom.
Fractional positions:
Zn 0.0004 0.5024 0.9963  3 Zn 2.55-2.65, 7 Al 2.66-2.85
Zn 0.5009 0.9963 0.5024  3 Zn 2.55-2.65, 7 Al 2.66-2.85
Zn 0.0004 0.9963 0.5024  3 Zn 2.55-2.65, 7 Al 2.66-2.85
Zn 0.5009 0.5024 0.9963  3 Zn 2.55-2.65, 7 Al 2.66-2.85
Zn 0.7131 0.7869 0.7869  4 Zn 2.65, 4 Al 2.80-2.87
Al 0.6443 0.3557 0.3557  5 Al 2.67-2.97, 4 Zn 2.85
Al 0.2860 0.2140 0.2140  4 Zn 2.70, 6 Al 2.80-2.95
Al 0.3553 0.6447 0.6447  3 Al 2.67-2.97, 6 Zn 2.80-2.87
Al 0.4999 0.7860 0.2141  5 Zn 2.66-2.80, 5 Al 2.80-2.97
Al 0.0025 0.6429 0.3522  4 Al 2.70-2.95, 5 Zn 2.81-2.99
Al 0.0025 0.3522 0.6429  4 Al 2.70-2.95, 5 Zn 2.81-2.99
Al 0.4999 0.2141 0.7860  5 Zn 2.66-2.80, 5 Al 2.80-2.97
Tm 0.9940 0.0060 0.0060  10 Al 3.19-3.34, 10 Zn 3.25-3.54

---

First-principles (PBE) data for an optimized crystal structure of Tm4Al3Zn, as listed in Alexandria via LeMat-Bulk.

Values from the calculation:
Symmetry   P4/mmm, No. 123
E_tot   -4.1835 eV per atom
Total moment   0.000 μB/f.u.

abc: 3.5437 3.5437 14.1677
angles: 90.00 90.00 90.00
With the nearest neighbours (Å) after each atom.
Fractional positions:
Tm 0.0000 0.0000 0.1212  4 Zn 3.04, 4 Al 3.08
Tm 0.0000 0.0000 0.3741  8 Al 3.08
Tm 0.0000 0.0000 0.8788  4 Zn 3.04, 4 Al 3.08
Tm 0.0000 0.0000 0.6259  8 Al 3.08
Al 0.5000 0.5000 0.7523  8 Tm 3.08
Al 0.5000 0.5000 0.2477  8 Tm 3.08
Al 0.5000 0.5000 0.5000  8 Tm 3.08
Zn 0.5000 0.5000 0.0000  8 Tm 3.04

---

First-principles (PBE) data for an optimized crystal structure of TmAl3Zn3, as listed in Alexandria via LeMat-Bulk.

Values from the calculation:
Symmetry   R-3, No. 148
E_tot   -2.8164 eV per atom
Total moment   0.000 μB/f.u.

abc: 7.6718 7.6718 6.8891
angles: 56.16 56.16 60.00
With the nearest neighbours (Å) after each atom.
Fractional positions:
Al 0.1254 0.4661 0.6307  4 Zn 2.57-2.80, 2 Al 2.86
Al 0.4661 0.7778 0.6307  4 Zn 2.57-2.80, 2 Al 2.86
Al 0.7778 0.1254 0.6307  4 Zn 2.57-2.80, 2 Al 2.86
Al 0.2222 0.8746 0.3693  4 Zn 2.57-2.80, 2 Al 2.86
Al 0.8746 0.5339 0.3693  4 Zn 2.57-2.80, 2 Al 2.86
Al 0.5339 0.2222 0.3693  4 Zn 2.57-2.80, 2 Al 2.86
Zn 0.0532 0.7763 0.8491  4 Al 2.57-2.80, 2 Zn 2.63
Zn 0.2237 0.6786 0.1509  4 Al 2.57-2.80, 2 Zn 2.63
Zn 0.6786 0.9468 0.1509  4 Al 2.57-2.80, 2 Zn 2.63
Zn 0.3214 0.0532 0.8491  4 Al 2.57-2.80, 2 Zn 2.63
Zn 0.7763 0.3214 0.8491  4 Al 2.57-2.80, 2 Zn 2.63
Zn 0.9468 0.2237 0.1509  4 Al 2.57-2.80, 2 Zn 2.63
Tm 0.6725 0.6725 0.9824  6 Zn 2.92-2.94, 6 Al 3.14-3.23
Tm 0.3275 0.3275 0.0176  6 Zn 2.92-2.94, 6 Al 3.14-3.23

---

First-principles (PBE) data for an optimized crystal structure of TmAl2Zn6, as listed in Alexandria via LeMat-Bulk.

Values from the calculation:
Symmetry   Immm, No. 71
E_tot   -2.2444 eV per atom
Total moment   0.000 μB/f.u.

abc: 3.6121 7.1383 7.3880
angles: 118.89 104.15 90.00
With the nearest neighbours (Å) after each atom.
Fractional positions:
Zn 0.5000 0.8267 0.0000  3 Zn 2.47-2.50, 4 Al 2.69
Zn 0.3169 0.4981 0.6338  4 Zn 2.50-2.64, 1 Al 2.70
Zn 0.6831 0.5019 0.3662  4 Zn 2.50-2.64, 1 Al 2.70
Zn 0.6831 0.8642 0.3662  4 Zn 2.50-2.64, 1 Al 2.70
Zn 0.5000 0.1733 0.0000  3 Zn 2.47-2.50, 4 Al 2.69
Zn 0.3169 0.1358 0.6338  4 Zn 2.50-2.64, 1 Al 2.70
Al 0.1257 0.1257 0.2514  10 Zn 2.69-2.99
Al 0.8743 0.8743 0.7486  10 Zn 2.69-2.99
Tm 0.0000 0.5000 0.0000  12 Zn 2.95-3.18

---

Q: What is the E_tot in the eighth record?
A: -4.1835 eV per atom